(1)
Entry from Alexandria via LeMat-Bulk: a relaxed Ba2TaTeCl crystal (PBE-GGA).

## Properties
- Space-group type: P4/mmm (123)
- Formation energy (no corrections): -82 meV per atom

abc: 6.7248 5.1438 6.7248
angles: 90.00 90.00 90.00
Closest atoms and distances in Å follow each position.
Fractional coordinates of all 5 atoms:
Cl  0.5000  0.5000  0.5000  8 Ba 4.23
Te  0.0000  0.0000  0.0000  2 Ta 2.57
Ba  0.0000  0.0000  0.5000  2 Te 3.36
Ba  0.5000  0.0000  0.0000  2 Te 3.36
Ta  0.0000  0.5000  0.0000  2 Te 2.57

(2)
Entry from Alexandria via LeMat-Bulk: a relaxed CsAsPtSe2 crystal (PBE-GGA).

## Properties
- Space-group type: P4/mmm (123)
- Energy above the most stable polymorph in this dataset: 0 meV per atom
- Formation energy (no corrections): -85 meV per atom

abc: 5.4576 5.4576 4.7373
angles: 90.00 90.00 90.00
Closest atoms and distances in Å follow each position.
Fractional coordinates of all 5 atoms:
Cs  0.5000  0.5000  0.5000  8 Se 3.61, 4 As 3.86
As  0.0000  0.0000  0.5000  2 Pt 2.37
Se  0.0000  0.5000  0.0000  2 Pt 2.73
Se  0.5000  0.0000  0.0000  2 Pt 2.73
Pt  0.0000  0.0000  0.0000  2 As 2.37

(3)
Entry from Alexandria via LeMat-Bulk: a relaxed NaTh2Mg crystal (PBE-GGA).

## Properties
- Space-group type: R-3m (166)
- E_form: 0.239 eV/atom

abc: 3.3542 3.3542 13.1489
angles: 82.67 82.67 60.00
Closest atoms and distances in Å follow each position.
Fractional coordinates of all 4 atoms:
Na  0.0000  0.0000  0.0000  6 Na 3.35, 2 Th 3.59
Mg  0.5000  0.5000  0.5000  6 Mg 3.35, 6 Th 3.50
Th  0.0919  0.0919  0.7242  6 Th 3.35, 3 Mg 3.50, 1 Na 3.59
Th  0.9081  0.9081  0.2758  6 Th 3.35, 3 Mg 3.50, 1 Na 3.59

(4)
Entry from Alexandria via LeMat-Bulk: a relaxed Cs2NaNiH4 crystal (PBE-GGA).

## Properties
- Space-group type: Fddd (70)
- DFT total energy: -2.83 eV per atom

abc: 5.0186 7.1086 11.5659
angles: 85.61 77.47 69.33
Closest atoms and distances in Å follow each position.
Fractional coordinates of all 16 atoms:
Cs  0.1685  0.0000  0.6629  2 H 2.97
Cs  0.8315  0.0000  0.3371  2 H 2.97
Cs  0.5815  0.5000  0.8371  2 H 2.97
Cs  0.9185  0.5000  0.1629  2 H 2.97
Na  0.7500  0.5000  0.5000  2 Ni 2.51, 4 H 2.51
Na  0.0000  0.0000  0.0000  2 Ni 2.51, 4 H 2.51
Ni  0.2500  0.5000  0.5000  4 H 1.58
Ni  0.5000  0.0000  0.0000  4 H 1.58
H  0.4345  0.8411  0.0938  1 Ni 1.58
H  0.3693  0.1589  0.9062  1 Ni 1.58
H  0.7244  0.8411  0.9062  1 Ni 1.58
H  0.4717  0.1589  0.0938  1 Ni 1.58
H  0.3155  0.6589  0.4062  1 Ni 1.58
H  0.3807  0.3411  0.5938  1 Ni 1.58
H  0.0256  0.6589  0.5938  1 Ni 1.58
H  0.2783  0.3411  0.4062  1 Ni 1.58

(5)
Entry from Alexandria via LeMat-Bulk: a relaxed Fe2H2Rh crystal (PBE-GGA).

## Properties
- Space-group type: P4/mbm (127)
- Energy above the most stable polymorph in this dataset: 362 meV per atom

abc: 5.5742 5.5742 2.6368
angles: 90.00 90.00 90.00
Closest atoms and distances in Å follow each position.
Fractional coordinates of all 10 atoms:
H  0.3534  0.8534  0.0000  6 Fe 2.05-2.18, 2 Rh 2.13
H  0.8534  0.6466  0.0000  6 Fe 2.05-2.18, 2 Rh 2.13
H  0.6466  0.1466  0.0000  6 Fe 2.05-2.18, 2 Rh 2.13
H  0.1466  0.3534  0.0000  6 Fe 2.05-2.18, 2 Rh 2.13
Rh  0.0000  0.0000  0.0000  4 H 2.13
Rh  0.5000  0.5000  0.0000  4 H 2.13
Fe  0.1339  0.6339  0.5000  6 H 2.05-2.18, 1 Fe 2.11
Fe  0.6339  0.8661  0.5000  6 H 2.05-2.18, 1 Fe 2.11
Fe  0.8661  0.3661  0.5000  6 H 2.05-2.18, 1 Fe 2.11
Fe  0.3661  0.1339  0.5000  6 H 2.05-2.18, 1 Fe 2.11

(6)
Entry from Alexandria via LeMat-Bulk: a relaxed K3C crystal (PBE-GGA).

## Properties
- Space-group type: Pm-3m (221)
- Energy above the most stable polymorph in this dataset: 0 meV per atom
- E_form: 1.048 eV/atom

abc: 5.8999 5.8999 5.8999
angles: 90.00 90.00 90.00
Closest atoms and distances in Å follow each position.
Fractional coordinates of all 4 atoms:
K  0.5000  0.0000  0.0000  2 C 2.95
K  0.0000  0.5000  0.0000  2 C 2.95
K  0.0000  0.0000  0.5000  2 C 2.95
C  0.0000  0.0000  0.0000  6 K 2.95

One value per record, in order, for density of states at the Fermi level: 3.21; 5.52; 2.40; 0.45; 9.90; 2.33 states/eV/cell.
One value per record, in order, for M_tot: 3.4; 0.0; 0.0; 0.0; 0.0; 1.5 μB per formula unit.
One value per record, in order, for ρ: 4.42; 6.60; 6.70; 3.10; 8.78; 1.05 g cm⁻³.